Entry 1:
Material: Sm3Al
Method: DFT, meta-GGA SCAN
State: single point on PBEsol structure

Calculated values
The calculation puts the energy relative to the lowest polymorph listed for this composition at 0 meV per atom. For the final energy, the calculation gives -35.503 eV/atom. The density of states at the Fermi level is 7.20 states/eV per cell. Its formation energy from the elements is -0.2337 eV/atom.

Cell lengths 6.8753, 6.8753, 5.2816 Å; angles 90.00, 90.00, 120.00 degrees
Last column: nearest neighbours and their distance in Å.
Fractional positions:
Sm 0.1769 0.3538 0.2500  6 Sm 3.23-3.38, 4 Al 3.23-3.44
Sm 0.1769 0.8231 0.2500  6 Sm 3.23-3.38, 4 Al 3.23-3.44
Sm 0.3538 0.1769 0.7500  6 Sm 3.23-3.38, 4 Al 3.23-3.44
Sm 0.6462 0.8231 0.2500  6 Sm 3.23-3.38, 4 Al 3.23-3.44
Sm 0.8231 0.1769 0.7500  6 Sm 3.23-3.38, 4 Al 3.23-3.44
Sm 0.8231 0.6462 0.7500  6 Sm 3.23-3.38, 4 Al 3.23-3.44
Al 0.3333 0.6667 0.7500  12 Sm 3.23-3.44
Al 0.6667 0.3333 0.2500  12 Sm 3.23-3.44

---

Entry 2:
Material: Sm3Al
Method: DFT, meta-GGA SCAN
State: single point on PBEsol structure

Calculated values
The calculation puts the energy relative to the lowest polymorph listed for this composition at 20 meV per atom. For the final energy, the calculation gives -35.483 eV/atom. The density of states at the Fermi level is 4.42 states/eV per cell. Its formation energy from the elements is -0.2138 eV/atom.

Cell lengths 4.7592, 4.7592, 4.7592 Å; angles 90.00, 90.00, 90.00 degrees
Last column: nearest neighbours and their distance in Å.
Fractional positions:
Sm 0.0000 0.0000 0.5000  4 Al 3.37, 8 Sm 3.37
Sm 0.0000 0.5000 0.0000  4 Al 3.37, 8 Sm 3.37
Sm 0.5000 0.0000 0.0000  4 Al 3.37, 8 Sm 3.37
Al 0.5000 0.5000 0.5000  12 Sm 3.37

---

Entry 3:
Material: SmAl
Method: DFT, meta-GGA SCAN
State: single point on PBEsol structure

Calculated values
For the final energy, the calculation gives -26.499 eV/atom. The density of states at the Fermi level is 0.52 states/eV per cell. Its formation energy from the elements is -0.4015 eV/atom.

Cell lengths 3.6299, 3.6299, 3.6299 Å; angles 90.00, 90.00, 90.00 degrees
Last column: nearest neighbours and their distance in Å.
Fractional positions:
Sm 0.0000 0.0000 0.0000  8 Al 3.14
Al 0.5000 0.5000 0.5000  8 Sm 3.14

---

Entry 4:
Material: SmAl3
Method: DFT, meta-GGA SCAN
State: single point on PBEsol structure

Calculated values
For the final energy, the calculation gives -17.396 eV/atom. The density of states at the Fermi level is 2.56 states/eV per cell. Its formation energy from the elements is -0.4715 eV/atom.

Cell lengths 6.3193, 6.3193, 4.6063 Å; angles 90.00, 90.00, 120.00 degrees
Last column: nearest neighbours and their distance in Å.
Fractional positions:
Sm 0.3333 0.6667 0.2500  12 Al 3.09-3.17
Sm 0.6667 0.3333 0.7500  12 Al 3.09-3.17
Al 0.1452 0.2904 0.7500  6 Al 2.75-2.80
Al 0.1452 0.8548 0.7500  6 Al 2.75-2.80
Al 0.2904 0.1452 0.2500  6 Al 2.75-2.80
Al 0.7096 0.8548 0.7500  6 Al 2.75-2.80
Al 0.8548 0.1452 0.2500  6 Al 2.75-2.80
Al 0.8548 0.7096 0.2500  6 Al 2.75-2.80

---

Entry 5:
Material: SmAl4
Method: DFT, meta-GGA SCAN
State: single point on PBEsol structure

Calculated values
The calculation puts the energy relative to the lowest polymorph listed for this composition at 72 meV per atom. For the final energy, the calculation gives -15.392 eV/atom. The density of states at the Fermi level is 2.53 states/eV per cell. Its formation energy from the elements is -0.3018 eV/atom.

Cell lengths 6.4314, 6.4314, 6.4314 Å; angles 142.15, 142.15, 54.61 degrees
Last column: nearest neighbours and their distance in Å.
Fractional positions:
Sm 0.0000 0.0000 0.0000  16 Al 3.20-3.54
Al 0.2500 0.7500 0.5000  8 Al 2.63-2.95
Al 0.3908 0.3908 0.0000  5 Al 2.50-2.63
Al 0.6092 0.6092 0.0000  5 Al 2.50-2.63
Al 0.7500 0.2500 0.5000  8 Al 2.63-2.95

---

Entry 6:
Material: SmAl4
Method: DFT, meta-GGA SCAN
State: single point on PBEsol structure

Calculated values
The calculation puts the energy relative to the lowest polymorph listed for this composition at 0 meV per atom. For the final energy, the calculation gives -15.463 eV/atom. The density of states at the Fermi level is 3.07 states/eV per cell. Its formation energy from the elements is -0.3735 eV/atom.

Cell lengths 7.8470, 7.8470, 7.8470 Å; angles 147.06, 132.62, 58.91 degrees
Last column: nearest neighbours and their distance in Å.
Fractional positions:
Sm 0.3633 0.1133 0.2500  13 Al 3.10-3.15
Sm 0.6367 0.8867 0.7500  13 Al 3.10-3.15
Al 0.0000 0.5000 0.5000  2 Al 2.72
Al 0.1362 0.8862 0.2500  10 Al 2.84-3.14, 3 Sm 3.10-3.15
Al 0.1601 0.6983 0.4618  7 Al 2.64-2.89
Al 0.2635 0.3017 0.9618  7 Al 2.64-2.89
Al 0.5000 0.5000 0.0000  2 Al 2.72
Al 0.7365 0.6983 0.0382  7 Al 2.64-2.89
Al 0.8399 0.3017 0.5382  7 Al 2.64-2.89
Al 0.8638 0.1138 0.7500  10 Al 2.84-3.14, 3 Sm 3.10-3.15

---

Entry 7:
Material: Sm2Al
Method: DFT, meta-GGA SCAN
State: single point on PBEsol structure

Calculated values
For the final energy, the calculation gives -32.507 eV/atom. The density of states at the Fermi level is 10.78 states/eV per cell. Its formation energy from the elements is -0.2946 eV/atom.

Cell lengths 6.5337, 5.1259, 9.6076 Å; angles 90.00, 90.00, 90.00 degrees
Last column: nearest neighbours and their distance in Å.
Fractional positions:
Sm 0.0276 0.2500 0.2070  3 Al 3.15-3.19, 5 Sm 3.37-3.50
Sm 0.1897 0.2500 0.5759  5 Al 3.10-3.39, 2 Sm 3.40
Sm 0.3103 0.7500 0.0759  5 Al 3.10-3.39, 2 Sm 3.40
Sm 0.4724 0.7500 0.7070  3 Al 3.15-3.19, 5 Sm 3.37-3.50
Sm 0.5276 0.2500 0.2930  3 Al 3.15-3.19, 5 Sm 3.37-3.50
Sm 0.6897 0.2500 0.9241  5 Al 3.10-3.39, 2 Sm 3.40
Sm 0.8103 0.7500 0.4241  5 Al 3.10-3.39, 2 Sm 3.40
Sm 0.9724 0.7500 0.7930  3 Al 3.15-3.19, 5 Sm 3.37-3.50
Al 0.2067 0.2500 0.8980  8 Sm 3.10-3.39
Al 0.2933 0.7500 0.3980  8 Sm 3.10-3.39
Al 0.7067 0.2500 0.6020  8 Sm 3.10-3.39
Al 0.7933 0.7500 0.1020  8 Sm 3.10-3.39

---

Entry 8:
Material: SmAl
Method: DFT, meta-GGA SCAN
State: single point on PBEsol structure

Calculated values
For the final energy, the calculation gives -26.544 eV/atom. The density of states at the Fermi level is 8.12 states/eV per cell. Its formation energy from the elements is -0.4470 eV/atom.

Cell lengths 5.8502, 11.5451, 5.6201 Å; angles 90.00, 90.00, 90.00 degrees
Last column: nearest neighbours and their distance in Å.
Fractional positions:
Sm 0.0941 0.1672 0.2500  6 Al 3.09-3.28, 3 Sm 3.26-3.40
Sm 0.0941 0.3328 0.7500  6 Al 3.09-3.28, 3 Sm 3.26-3.40
Sm 0.3374 0.0114 0.7500  8 Al 3.09-3.38, 3 Sm 3.26-3.40
Sm 0.3374 0.4886 0.2500  8 Al 3.09-3.38, 3 Sm 3.26-3.40
Sm 0.6626 0.5114 0.7500  8 Al 3.09-3.38, 3 Sm 3.26-3.40
Sm 0.6626 0.9886 0.2500  8 Al 3.09-3.38, 3 Sm 3.26-3.40
Sm 0.9059 0.6672 0.2500  6 Al 3.09-3.28, 3 Sm 3.26-3.40
Sm 0.9059 0.8328 0.7500  6 Al 3.09-3.28, 3 Sm 3.26-3.40
Al 0.1639 0.5993 0.7500  2 Al 2.73
Al 0.1639 0.9007 0.2500  2 Al 2.73
Al 0.4302 0.7500 0.0000  4 Al 2.73-2.81
Al 0.4302 0.7500 0.5000  4 Al 2.73-2.81
Al 0.5698 0.2500 0.0000  4 Al 2.73-2.81
Al 0.5698 0.2500 0.5000  4 Al 2.73-2.81
Al 0.8361 0.0993 0.7500  2 Al 2.73
Al 0.8361 0.4007 0.2500  2 Al 2.73